Record 1
Compound: GdCuNiPd
Source: the Alexandria database
Functional: PBE-GGA
Structure: optimized geometry

Formation enthalpy at 0 K in eV per atom: -0.267
Raw total energy in eV/cell: -30.22
V in A^3/atom: 16.588
Crystal system: cubic
Calculated density in Mg/m³: 9.7
Spin magnetization in μB/atom: 1.81
Space group: F-43m, No. 216
Density of states at the Fermi level in states/eV per atom: 0.678

Lattice parameters (Å, degrees): 4.5442 4.5442 4.5442 60.00 60.00 60.00
With the nearest neighbours (Å) after each atom.
Positions (direct):
Gd 0.0000 0.0000 0.0000  4 Cu 2.78, 4 Ni 2.78
Cu 0.7500 0.7500 0.7500  4 Pd 2.78, 4 Gd 2.78
Ni 0.2500 0.2500 0.2500  4 Pd 2.78, 4 Gd 2.78
Pd 0.5000 0.5000 0.5000  4 Ni 2.78, 4 Cu 2.78

Record 2
Compound: PmGdCuNi
Source: the Alexandria database
Functional: PBE-GGA
Structure: optimized geometry

Formation enthalpy at 0 K in eV per atom: -0.243
Raw total energy in eV/cell: -29.68
V in A^3/atom: 21.238
Crystal system: cubic
Calculated density in Mg/m³: 8.3
Spin magnetization in μB/atom: 1.79
Space group: F-43m, No. 216
Density of states at the Fermi level in states/eV per atom: 0.657

Lattice parameters (Å, degrees): 4.9343 4.9343 4.9343 60.00 60.00 60.00
With the nearest neighbours (Å) after each atom.
Positions (direct):
Pm 0.0000 0.0000 0.0000  4 Ni 3.02, 4 Cu 3.02
Gd 0.5000 0.5000 0.5000  4 Cu 3.02, 4 Ni 3.02
Cu 0.7500 0.7500 0.7500  4 Gd 3.02, 4 Pm 3.02
Ni 0.2500 0.2500 0.2500  4 Gd 3.02, 4 Pm 3.02

Record 3
Compound: PrGdCuNi
Source: the Alexandria database
Functional: PBE-GGA
Structure: optimized geometry

Formation enthalpy at 0 K in eV per atom: -0.213
Raw total energy in eV/cell: -29.59
V in A^3/atom: 21.752
Crystal system: cubic
Calculated density in Mg/m³: 8.0
Spin magnetization in μB/atom: 1.79
Space group: F-43m, No. 216
Density of states at the Fermi level in states/eV per atom: 0.650

Lattice parameters (Å, degrees): 4.9738 4.9738 4.9738 60.00 60.00 60.00
With the nearest neighbours (Å) after each atom.
Positions (direct):
Pr 0.0000 0.0000 0.0000  4 Cu 3.05, 4 Ni 3.05
Gd 0.5000 0.5000 0.5000  4 Cu 3.05, 4 Ni 3.05
Cu 0.7500 0.7500 0.7500  4 Gd 3.05, 4 Pr 3.05
Ni 0.2500 0.2500 0.2500  4 Gd 3.05, 4 Pr 3.05

Record 4
Compound: GdScCuNi
Source: the Alexandria database
Functional: PBE-GGA
Structure: optimized geometry

Formation enthalpy at 0 K in eV per atom: -0.295
Raw total energy in eV/cell: -31.47
V in A^3/atom: 18.669
Crystal system: cubic
Calculated density in Mg/m³: 7.2
Spin magnetization in μB/atom: 1.78
Space group: F-43m, No. 216
Density of states at the Fermi level in states/eV per atom: 0.695

Lattice parameters (Å, degrees): 4.7268 4.7268 4.7268 60.00 60.00 60.00
With the nearest neighbours (Å) after each atom.
Positions (direct):
Gd 0.0000 0.0000 0.0000  4 Cu 2.89, 4 Ni 2.89
Sc 0.5000 0.5000 0.5000  4 Ni 2.89, 4 Cu 2.89
Cu 0.7500 0.7500 0.7500  4 Sc 2.89, 4 Gd 2.89
Ni 0.2500 0.2500 0.2500  4 Sc 2.89, 4 Gd 2.89

Record 5
Compound: GdThCuNi
Source: the Alexandria database
Functional: PBE-GGA
Structure: optimized geometry

Formation enthalpy at 0 K in eV per atom: -0.209
Raw total energy in eV/cell: -32.21
V in A^3/atom: 21.469
Crystal system: cubic
Calculated density in Mg/m³: 9.9
Spin magnetization in μB/atom: 1.82
Space group: F-43m, No. 216
Density of states at the Fermi level in states/eV per atom: 0.944

Lattice parameters (Å, degrees): 4.9522 4.9522 4.9522 60.00 60.00 60.00
With the nearest neighbours (Å) after each atom.
Positions (direct):
Gd 0.0000 0.0000 0.0000  4 Ni 3.03, 4 Cu 3.03
Th 0.5000 0.5000 0.5000  4 Ni 3.03, 4 Cu 3.03
Cu 0.2500 0.2500 0.2500  4 Gd 3.03, 4 Th 3.03
Ni 0.7500 0.7500 0.7500  4 Th 3.03, 4 Gd 3.03

Record 6
Compound: GdTmCuNi
Source: the Alexandria database
Functional: PBE-GGA
Structure: optimized geometry

Formation enthalpy at 0 K in eV per atom: -0.320
Raw total energy in eV/cell: -29.71
V in A^3/atom: 19.898
Crystal system: cubic
Calculated density in Mg/m³: 9.4
Spin magnetization in μB/atom: 1.78
Space group: F-43m, No. 216
Density of states at the Fermi level in states/eV per atom: 0.692

Lattice parameters (Å, degrees): 4.8283 4.8283 4.8283 60.00 60.00 60.00
With the nearest neighbours (Å) after each atom.
Positions (direct):
Gd 0.0000 0.0000 0.0000  4 Ni 2.96, 4 Cu 2.96
Tm 0.5000 0.5000 0.5000  4 Ni 2.96, 4 Cu 2.96
Cu 0.2500 0.2500 0.2500  4 Tm 2.96, 4 Gd 2.96
Ni 0.7500 0.7500 0.7500  4 Tm 2.96, 4 Gd 2.96

Record 7
Compound: GdYCuNi
Source: the Alexandria database
Functional: PBE-GGA
Structure: optimized geometry

Formation enthalpy at 0 K in eV per atom: -0.288
Raw total energy in eV/cell: -31.57
V in A^3/atom: 20.501
Crystal system: cubic
Calculated density in Mg/m³: 7.5
Spin magnetization in μB/atom: 1.78
Space group: F-43m, No. 216
Density of states at the Fermi level in states/eV per atom: 0.657

Lattice parameters (Å, degrees): 4.8766 4.8766 4.8766 60.00 60.00 60.00
With the nearest neighbours (Å) after each atom.
Positions (direct):
Gd 0.0000 0.0000 0.0000  4 Ni 2.99, 4 Cu 2.99
Y 0.5000 0.5000 0.5000  4 Ni 2.99, 4 Cu 2.99
Cu 0.2500 0.2500 0.2500  4 Y 2.99, 4 Gd 2.99
Ni 0.7500 0.7500 0.7500  4 Y 2.99, 4 Gd 2.99

Record 8
Compound: GdZnCuNi
Source: the Alexandria database
Functional: PBE-GGA
Structure: optimized geometry

Formation enthalpy at 0 K in eV per atom: -0.193
Raw total energy in eV/cell: -26.00
V in A^3/atom: 16.712
Crystal system: cubic
Calculated density in Mg/m³: 8.6
Spin magnetization in μB/atom: 1.81
Space group: F-43m, No. 216
Density of states at the Fermi level in states/eV per atom: 0.710

Lattice parameters (Å, degrees): 4.5555 4.5555 4.5555 60.00 60.00 60.00
With the nearest neighbours (Å) after each atom.
Positions (direct):
Gd 0.0000 0.0000 0.0000  4 Ni 2.79, 4 Cu 2.79
Zn 0.5000 0.5000 0.5000  4 Ni 2.79, 4 Cu 2.79
Cu 0.2500 0.2500 0.2500  4 Zn 2.79, 4 Gd 2.79
Ni 0.7500 0.7500 0.7500  4 Zn 2.79, 4 Gd 2.79

Record 9
Compound: GdZrCuNi
Source: the Alexandria database
Functional: PBE-GGA
Structure: optimized geometry

Formation enthalpy at 0 K in eV per atom: -0.166
Raw total energy in eV/cell: -33.17
V in A^3/atom: 18.788
Crystal system: cubic
Calculated density in Mg/m³: 8.2
Spin magnetization in μB/atom: 1.88
Space group: F-43m, No. 216
Density of states at the Fermi level in states/eV per atom: 1.114

Lattice parameters (Å, degrees): 4.7368 4.7368 4.7368 60.00 60.00 60.00
With the nearest neighbours (Å) after each atom.
Positions (direct):
Gd 0.0000 0.0000 0.0000  4 Ni 2.90, 4 Cu 2.90
Zr 0.5000 0.5000 0.5000  4 Ni 2.90, 4 Cu 2.90
Cu 0.2500 0.2500 0.2500  4 Gd 2.90, 4 Zr 2.90
Ni 0.7500 0.7500 0.7500  4 Zr 2.90, 4 Gd 2.90

Record 10
Compound: GdCuO3
Source: the Alexandria database
Functional: PBE-GGA
Structure: optimized geometry

Raw total energy in eV/cell: -42.17
V in A^3/atom: 11.009
Crystal system: cubic
Calculated density in Mg/m³: 8.1
E_form (uncorrected) in eV per atom: -1.82
Spin magnetization in μB/atom: 1.40
Space group: Pm-3m, No. 221
Density of states at the Fermi level in states/eV per atom: 0.207

Lattice parameters (Å, degrees): 3.8040 3.8040 3.8040 90.00 90.00 90.00
With the nearest neighbours (Å) after each atom.
Positions (direct):
Gd 0.0000 0.0000 0.0000  12 O 2.69
Cu 0.5000 0.5000 0.5000  6 O 1.90
O 0.0000 0.5000 0.5000  2 Cu 1.90
O 0.5000 0.0000 0.5000  2 Cu 1.90
O 0.5000 0.5000 0.0000  2 Cu 1.90

Record 11
Compound: Gd3CuO
Source: the Alexandria database
Functional: PBE-GGA
Structure: optimized geometry

Raw total energy in eV/cell: -56.75
V in A^3/atom: 21.699
Crystal system: cubic
Calculated density in Mg/m³: 8.4
E_form (uncorrected) in eV per atom: -1.09
Spin magnetization in μB/atom: 4.43
Space group: Pm-3m, No. 221
Density of states at the Fermi level in states/eV per atom: 0.965

Lattice parameters (Å, degrees): 4.7694 4.7694 4.7694 90.00 90.00 90.00
With the nearest neighbours (Å) after each atom.
Positions (direct):
Gd 0.0000 0.0000 0.5000  2 O 2.38
Gd 0.0000 0.5000 0.0000  2 O 2.38
Gd 0.5000 0.0000 0.0000  2 O 2.38
Cu 0.5000 0.5000 0.5000  12 Gd 3.37
O 0.0000 0.0000 0.0000  6 Gd 2.38

Record 12
Compound: GdCuSeO
Source: the Alexandria database
Functional: PBE-GGA
Structure: optimized geometry

Raw total energy in eV/cell: -68.86
V in A^3/atom: 16.972
Crystal system: tetragonal
Calculated density in Mg/m³: 7.7
E_form (uncorrected) in eV per atom: -1.95
Spin magnetization in μB/atom: 1.75
Space group: P4/nmm, No. 129

Lattice parameters (Å, degrees): 3.9330 3.9330 8.7775 90.00 90.00 90.00
With the nearest neighbours (Å) after each atom.
Positions (direct):
Gd 0.2500 0.2500 0.1325  4 O 2.28
Gd 0.7500 0.7500 0.8675  4 O 2.28
Cu 0.2500 0.7500 0.5000  4 Se 2.52, 4 Cu 2.78
Cu 0.7500 0.2500 0.5000  4 Se 2.52, 4 Cu 2.78
Se 0.2500 0.2500 0.6795  4 Cu 2.52
Se 0.7500 0.7500 0.3205  4 Cu 2.52
O 0.2500 0.7500 0.0000  4 Gd 2.28
O 0.7500 0.2500 0.0000  4 Gd 2.28

Record 13
Compound: Gd2CuOs
Source: the Alexandria database
Functional: PBE-GGA
Structure: optimized geometry

Formation enthalpy at 0 K in eV per atom: -0.199
Raw total energy in eV/cell: -44.28
V in A^3/atom: 20.789
Crystal system: cubic
Calculated density in Mg/m³: 11.3
Spin magnetization in μB/atom: 3.57
Space group: Fm-3m, No. 225
Density of states at the Fermi level in states/eV per atom: 0.558

Lattice parameters (Å, degrees): 4.8993 4.8993 4.8993 60.00 60.00 60.00
With the nearest neighbours (Å) after each atom.
Positions (direct):
Gd 0.2500 0.2500 0.2500  4 Os 3.00, 4 Cu 3.00
Gd 0.7500 0.7500 0.7500  4 Cu 3.00, 4 Os 3.00
Cu 0.0000 0.0000 0.0000  8 Gd 3.00
Os 0.5000 0.5000 0.5000  8 Gd 3.00

Record 14
Compound: Gd2CuOs
Source: the Alexandria database
Functional: PBE-GGA
Structure: optimized geometry

Formation enthalpy at 0 K in eV per atom: -0.185
Raw total energy in eV/cell: -44.23
V in A^3/atom: 21.161
Crystal system: tetragonal
Calculated density in Mg/m³: 11.1
Spin magnetization in μB/atom: 3.56
Space group: P4/mmm, No. 123
Density of states at the Fermi level in states/eV per atom: 0.660

Lattice parameters (Å, degrees): 3.4269 3.4269 7.2075 90.00 90.00 90.00
With the nearest neighbours (Å) after each atom.
Positions (direct):
Gd 0.0000 0.0000 0.2369  4 Os 2.96, 4 Cu 3.08
Gd 0.0000 0.0000 0.7631  4 Os 2.96, 4 Cu 3.08
Cu 0.5000 0.5000 0.5000  8 Gd 3.08, 4 Cu 3.43
Os 0.5000 0.5000 0.0000  8 Gd 2.96

Record 15
Compound: SmGdCuOs
Source: the Alexandria database
Functional: PBE-GGA
Structure: optimized geometry

Formation enthalpy at 0 K in eV per atom: -0.165
Raw total energy in eV/cell: -34.78
V in A^3/atom: 21.133
Crystal system: cubic
Calculated density in Mg/m³: 11.0
Spin magnetization in μB/atom: 1.79
Space group: F-43m, No. 216
Density of states at the Fermi level in states/eV per atom: 0.625

Lattice parameters (Å, degrees): 4.9262 4.9262 4.9262 60.00 60.00 60.00
With the nearest neighbours (Å) after each atom.
Positions (direct):
Sm 0.0000 0.0000 0.0000  4 Cu 3.02, 4 Os 3.02
Gd 0.5000 0.5000 0.5000  4 Os 3.02, 4 Cu 3.02
Cu 0.7500 0.7500 0.7500  4 Sm 3.02, 4 Gd 3.02
Os 0.2500 0.2500 0.2500  4 Gd 3.02, 4 Sm 3.02